## ScTeS2Cl (PBE)

Data for a geometry-optimized ScTeS2Cl structure.

Summary:
**Magnetic moment**: 1.01 μB per formula unit
**Calculated volume**: 27.2 A^3/atom
**Formation energy (no corrections)**: 0.352 eV per formula unit

Unit cell a=5.202 b=5.202 c=5.033 alpha=90.00 beta=90.00 gamma=90.00
Space group P4/mmm (No. 123)
One atom of each set of equivalent atoms:
Sc1 0.000 0.000 0.000 x1
Te1 0.500 0.500 0.500 x1
S1 0.000 0.500 0.500 x2
Cl1 0.500 0.500 0.000 x1